--- one ---
# Cs3Sr2H7

Cs3Sr2H7 after structural relaxation (PBE, Alexandria).

The magnetization comes out at 0.00 μB/f.u. The value obtained for the density of states at the Fermi level is 0.000 states/eV per cell.

The structure belongs to space group I4/mmm (No. 139); the cell edges are 4.828, 4.828 and 25.356 Å and the angles 90.00°, 90.00° and 90.00°. The distinct sites, in fractional coordinates, are Cs at (0.000, 0.000, 0.000), Cs at (0.000, 0.000, 0.187), Sr at (0.000, 0.000, 0.404), H at (0.000, 0.000, 0.307), H at (0.000, 0.000, 0.500) and H at (0.000, 0.500, 0.096).

--- two ---
# Cs3Sr2H7

Cs3Sr2H7 after structural relaxation (PBE, Alexandria).

The magnetization comes out at 0.00 μB/f.u. The value obtained for the density of states at the Fermi level is 0.000 states/eV per cell.

The structure belongs to space group Cmmm (No. 65); the cell edges are 4.883, 25.385 and 4.716 Å and the angles 90.00°, 90.00° and 90.00°. The distinct sites, in fractional coordinates, are Cs at (0.000, 0.000, 0.000), Cs at (0.000, 0.187, 0.000), Sr at (0.000, 0.403, 0.500), H at (0.000, 0.095, 0.500), H at (0.000, 0.306, 0.500), H at (0.000, 0.403, 0.000) and H at (0.000, 0.500, 0.500).

Ordering by calculated energy gives the sequence one, two, with the first entry being the most stable.